## i
The following is a PBE calculation of a geometry-optimized Tb4MgIr structure, from the Alexandria database.

Lattice parameters (Å, degrees): 8.120 8.120 8.120 108.46 108.46 111.51
Atoms (fractional coordinates):
Tb  0.760  0.968  0.793
Tb  0.718  0.533  0.185
Ir  0.505  0.005  0.500
Tb  0.718  0.010  0.293
Tb  0.348  0.533  0.815
Tb  0.718  0.425  0.707
Mg  0.243  0.243  0.000
Tb  0.175  0.968  0.207
Ir  0.755  0.755  0.000
Mg  0.993  0.493  0.500
Tb  0.283  0.968  0.685
Tb  0.283  0.598  0.315

SG: I4_1md (109)
D(E_F) (states/eV per atom): 1.4793

## ii
The following is a PBE calculation of a geometry-optimized Tb4MgIr structure, from the Alexandria database.

Lattice parameters (Å, degrees): 9.743 9.743 9.743 60.00 60.00 60.00
Atoms (fractional coordinates):
Tb  0.437  0.063  0.437
Tb  0.812  0.188  0.188
Tb  0.437  0.063  0.063
Tb  0.063  0.437  0.437
Tb  0.188  0.812  0.812
Tb  0.063  0.437  0.063
Tb  0.812  0.188  0.812
Ir  0.858  0.858  0.425
Mg  0.421  0.421  0.421
Ir  0.858  0.858  0.858
Tb  0.653  0.653  0.653
Mg  0.421  0.421  0.738
Ir  0.858  0.425  0.858
Ir  0.425  0.858  0.858
Tb  0.812  0.812  0.188
Tb  0.188  0.812  0.188
Tb  0.188  0.188  0.812
Tb  0.653  0.653  0.041
Tb  0.041  0.653  0.653
Tb  0.063  0.063  0.437
Mg  0.738  0.421  0.421
Tb  0.437  0.437  0.063
Tb  0.653  0.041  0.653
Mg  0.421  0.738  0.421

SG: F-43m (216)
D(E_F) (states/eV per atom): 0.6991

Pick ii: it beats the second-best structure by 426 meV per atom.

## i
The following is a PBE calculation of a geometry-optimized Mg2TcIr structure, from the Alexandria database.

Lattice parameters (Å, degrees): 5.045 5.045 5.045 134.85 134.85 65.76
Atoms (fractional coordinates):
Mg  0.500  0.500  0.000
Mg  0.000  0.000  0.000
Ir  0.750  0.250  0.500
Tc  0.250  0.750  0.500

SG: I4/mmm (139)
D(E_F) (states/eV per atom): 0.9794

## ii
The following is a PBE calculation of a geometry-optimized Mg2TcIr structure, from the Alexandria database.

Lattice parameters (Å, degrees): 4.131 3.938 3.938 90.00 90.00 90.00
Each line ends with the local moment (μB).
Atoms (fractional coordinates):
Mg  0.000  0.000  0.000  -0.01
Mg  0.000  0.500  0.500  -0.01
Ir  0.500  0.000  0.500  0.40
Tc  0.500  0.500  0.000  1.28

SG: P4/mmm (123)
D(E_F) (states/eV per atom): 0.9388

Pick ii: it beats the second-best structure by 11 meV per atom.

## i
The following is a PBE calculation of a geometry-optimized Mg2TcIr structure, from the Alexandria database.

Lattice parameters (Å, degrees): 4.786 4.786 4.955 79.91 79.91 34.38
Atoms (fractional coordinates):
Ir  0.750  0.750  0.750
Mg  0.495  0.495  0.503
Mg  0.005  0.005  0.997
Tc  0.250  0.250  0.250

SG: C2/m (12)
D(E_F) (states/eV per atom): 0.9094

## ii
The following is a PBE calculation of a geometry-optimized Mg2TcIr structure, from the Alexandria database.

Lattice parameters (Å, degrees): 4.481 4.481 4.481 60.00 60.00 60.00
Each line ends with the local moment (μB).
Atoms (fractional coordinates):
Mg  0.750  0.750  0.750  -0.01
Mg  0.250  0.250  0.250  -0.01
Ir  0.500  0.500  0.500  0.32
Tc  0.000  0.000  0.000  2.00

SG: Fm-3m (225)
D(E_F) (states/eV per atom): 0.7188

## iii
The following is a PBE calculation of a geometry-optimized Mg2TcIr structure, from the Alexandria database.

Lattice parameters (Å, degrees): 2.880 2.880 8.269 90.00 90.00 90.00
Atoms (fractional coordinates):
Tc  0.000  0.000  0.528
Mg  0.000  0.000  0.960
Mg  0.500  0.500  0.284
Ir  0.500  0.500  0.729

SG: P4mm (99)
D(E_F) (states/eV per atom): 0.7404

Pick iii: it beats the second-best structure by 155 meV per atom.

## i
The following is a PBE calculation of a geometry-optimized Mg2TcIr structure, from the Alexandria database.

Lattice parameters (Å, degrees): 9.159 9.159 9.159 17.89 17.89 17.89
Atoms (fractional coordinates):
Tc  0.250  0.250  0.250
Mg  0.003  0.003  0.003
Ir  0.750  0.750  0.750
Mg  0.497  0.497  0.497

SG: R-3m (166)
D(E_F) (states/eV per atom): 1.1669

## ii
The following is a PBE calculation of a geometry-optimized Mg2TcIr structure, from the Alexandria database.

Lattice parameters (Å, degrees): 4.637 4.637 2.899 90.00 90.00 90.00
Atoms (fractional coordinates):
Tc  0.500  0.000  0.500
Mg  0.000  0.000  0.000
Mg  0.500  0.500  0.000
Ir  0.000  0.500  0.500

SG: P4/mmm (123)
D(E_F) (states/eV per atom): 0.9190

Pick i: it beats the second-best structure by 104 meV per atom.

## i
The following is a PBE calculation of a geometry-optimized Mg2TcIr structure, from the Alexandria database.

Lattice parameters (Å, degrees): 5.263 5.263 4.693 71.82 71.82 31.95
Atoms (fractional coordinates):
Tc  0.480  0.480  0.498
Mg  0.019  0.019  0.967
Ir  0.763  0.763  0.758
Mg  0.238  0.238  0.277

SG: Cm (8)
D(E_F) (states/eV per atom): 0.7195

## ii
The following is a PBE calculation of a geometry-optimized Mg2TcIr structure, from the Alexandria database.

Lattice parameters (Å, degrees): 2.765 2.765 8.829 90.00 90.00 110.96
Atoms (fractional coordinates):
Ir  0.500  0.500  0.750
Tc  0.500  0.500  0.250
Mg  0.000  0.000  0.507
Mg  0.000  0.000  0.993

SG: Cmmm (65)
D(E_F) (states/eV per atom): 0.9353

## iii
The following is a PBE calculation of a geometry-optimized Mg2TcIr structure, from the Alexandria database.

Lattice parameters (Å, degrees): 7.284 7.284 5.775 50.90 50.90 90.00
Each line ends with the local moment (μB).
Atoms (fractional coordinates):
Tc  0.250  0.750  0.500  0.69
Mg  0.111  0.625  0.250  -0.01
Ir  0.750  0.250  0.500  0.06
Ir  0.000  0.000  0.000  0.06
Mg  0.875  0.889  0.750  -0.01
Mg  0.639  0.125  0.250  -0.01
Mg  0.375  0.361  0.750  -0.01
Tc  0.500  0.500  0.000  0.69

SG: I-42d (122)
D(E_F) (states/eV per atom): 0.9350

Pick i: it beats the second-best structure by 70 meV per atom.

## i
The following is a PBE calculation of a geometry-optimized Mg2TcIr structure, from the Alexandria database.

Lattice parameters (Å, degrees): 5.030 5.030 2.788 90.00 90.00 115.61
Atoms (fractional coordinates):
Mg  0.500  0.500  0.000
Mg  0.000  0.000  0.000
Ir  0.000  0.500  0.500
Tc  0.500  0.000  0.500

SG: Cmmm (65)
D(E_F) (states/eV per atom): 1.1188

## ii
The following is a PBE calculation of a geometry-optimized Mg2TcIr structure, from the Alexandria database.

Lattice parameters (Å, degrees): 4.446 4.446 4.446 119.73 119.73 90.46
Atoms (fractional coordinates):
Mg  0.000  0.000  0.000
Ir  0.750  0.250  0.500
Tc  0.500  0.500  0.000
Mg  0.250  0.750  0.500

SG: I-4m2 (119)
D(E_F) (states/eV per atom): 0.9049

## iii
The following is a PBE calculation of a geometry-optimized Mg2TcIr structure, from the Alexandria database.

Lattice parameters (Å, degrees): 4.453 2.793 5.095 82.24 90.00 90.00
Atoms (fractional coordinates):
Tc  0.500  0.250  0.250
Mg  0.000  0.510  0.502
Ir  0.500  0.750  0.750
Mg  0.000  0.990  0.998

SG: P2/m (10)
D(E_F) (states/eV per atom): 0.6069

## iv
The following is a PBE calculation of a geometry-optimized Mg2TcIr structure, from the Alexandria database.

Lattice parameters (Å, degrees): 5.328 5.328 5.328 147.92 127.34 63.00
Atoms (fractional coordinates):
Ir  0.250  0.750  0.500
Tc  0.750  0.250  0.500
Mg  0.493  0.493  0.000
Mg  0.007  0.007  0.000

SG: Immm (71)
D(E_F) (states/eV per atom): 0.9574

Pick ii: it beats the second-best structure by 41 meV per atom.

## i
The following is a PBE calculation of a geometry-optimized Mg2TcIr2 structure, from the Alexandria database.

Lattice parameters (Å, degrees): 6.462 6.462 4.186 90.00 90.00 90.00
Atoms (fractional coordinates):
Ir  0.366  0.866  0.000
Mg  0.173  0.673  0.500
Tc  0.000  0.000  0.000
Mg  0.673  0.827  0.500
Ir  0.866  0.634  0.000
Mg  0.827  0.327  0.500
Ir  0.134  0.366  0.000
Tc  0.500  0.500  0.000
Ir  0.634  0.134  0.000
Mg  0.327  0.173  0.500

SG: P4/mbm (127)
D(E_F) (states/eV per atom): 0.7651

## ii
The following is a PBE calculation of a geometry-optimized Mg2TcIr2 structure, from the Alexandria database.

Lattice parameters (Å, degrees): 7.818 7.818 7.818 153.77 153.77 37.43
Each line ends with the local moment (μB).
Atoms (fractional coordinates):
Tc  0.000  0.000  0.000  2.24
Ir  0.250  0.750  0.500  0.12
Ir  0.750  0.250  0.500  0.12
Mg  0.603  0.603  0.000  -0.01
Mg  0.397  0.397  0.000  -0.01

SG: I4/mmm (139)
D(E_F) (states/eV per atom): 0.9333

Pick i: it beats the second-best structure by 631 meV per atom.

## i
The following is a PBE calculation of a geometry-optimized MgTeIr2 structure, from the Alexandria database.

Lattice parameters (Å, degrees): 5.994 5.994 7.064 64.90 64.90 90.00
Atoms (fractional coordinates):
Te  0.750  0.250  0.500
Mg  0.250  0.750  0.500
Mg  0.500  0.500  0.000
Ir  0.875  0.887  0.750
Ir  0.637  0.125  0.250
Ir  0.113  0.625  0.250
Ir  0.375  0.363  0.750
Te  0.000  0.000  0.000

SG: I-42d (122)
D(E_F) (states/eV per atom): 0.4923

## ii
The following is a PBE calculation of a geometry-optimized MgTeIr2 structure, from the Alexandria database.

Lattice parameters (Å, degrees): 4.801 4.801 4.801 127.73 127.72 77.08
Atoms (fractional coordinates):
Te  0.250  0.750  0.500
Mg  0.750  0.250  0.500
Ir  0.000  0.000  0.000
Ir  0.500  0.500  0.000

SG: I4/mmm (139)
D(E_F) (states/eV per atom): 0.3794

Pick ii: it beats the second-best structure by 642 meV per atom.